First-principles (PBE+U) data for CrSiAg6O8 after structural relaxation, as listed in the Alexandria database.

## Properties
The value obtained for the electronic total energy is -167.0 eV/cell. The value obtained for the density of states at the Fermi level is 3.01 states/eV/cell. As for the symmetry: I4_1/amd, No. 141.

abc: 10.508 10.508 10.508
angles: 140.65 140.65 56.87
Positions (direct):
Cr  0.375  0.625  0.750
Cr  0.625  0.375  0.250
Si  0.125  0.875  0.250
Si  0.875  0.125  0.750
Ag  0.000  0.206  0.206
Ag  0.000  0.794  0.794
Ag  0.113  0.363  0.750
Ag  0.206  0.000  0.706
Ag  0.206  0.500  0.206
Ag  0.363  0.113  0.250
Ag  0.500  0.206  0.706
Ag  0.500  0.794  0.294
Ag  0.637  0.887  0.750
Ag  0.794  0.000  0.294
Ag  0.794  0.500  0.794
Ag  0.887  0.637  0.250
O  0.119  0.177  0.942
O  0.129  0.574  0.555
O  0.177  0.119  0.442
O  0.177  0.734  0.058
O  0.266  0.823  0.442
O  0.426  0.481  0.555
O  0.426  0.871  0.945
O  0.481  0.426  0.055
O  0.519  0.574  0.945
O  0.574  0.129  0.055
O  0.574  0.519  0.445
O  0.734  0.177  0.558
O  0.823  0.266  0.942
O  0.823  0.881  0.558
O  0.871  0.426  0.445
O  0.881  0.823  0.058